Entry 1:
4
Lattice="4.422 0.000 0.000 0.000 4.422 0.000 0.000 0.000 5.119" Properties=species:S:1:pos:R:3 comment="LaMg2Ag | Alexandria | PBEsol | relaxed" magmom_total_mub_per_fu=0.00 pbc="T T T"
Mg 0.000 2.211 0.000
Mg 2.211 0.000 0.000
Ag 2.211 2.211 2.560
La 0.000 0.000 2.560

Entry 2:
10
Lattice="4.098 0.000 0.000 0.000 8.047 0.000 0.000 0.000 8.047" Properties=species:S:1:pos:R:3 comment="La2MgAg2 | Alexandria | PBEsol | relaxed" magmom_total_mub_per_fu=0.00 pbc="T T T"
Ag 0.000 1.022 3.002
Ag 0.000 7.025 5.046
Ag 0.000 3.002 7.025
Ag 0.000 5.046 1.022
Mg 0.000 4.024 4.024
Mg 0.000 0.000 0.000
La 2.049 5.402 6.669
La 2.049 6.669 2.645
La 2.049 2.645 1.378
La 2.049 1.378 5.402

Entry 3:
6
Lattice="-1.403 5.368 -0.576 -4.736 1.902 2.251 0.182 3.418 4.405" Properties=species:S:1:pos:R:3 comment="LaMgAg4 | Alexandria | PBEsol | relaxed" magmom_total_mub_per_fu=0.00 pbc="T T T"
Ag -4.615 4.956 3.409
Ag -2.935 6.704 1.984
Ag -2.136 5.721 4.494
Ag -2.228 3.997 2.274
Mg 0.000 0.000 0.000
La -4.468 8.017 4.560

Entry 4:
4
Lattice="5.112 0.000 0.000 2.556 4.427 0.000 2.556 1.476 4.174" Properties=species:S:1:pos:R:3 comment="LaMg2Ag | Alexandria | PBEsol | relaxed" magmom_total_mub_per_fu=0.00 pbc="T T T"
La 2.556 1.476 1.043
Mg 0.000 0.000 0.000
Mg 7.668 4.427 3.130
Ag 5.112 2.951 2.087

Entry 5:
4
Lattice="3.400 0.000 0.000 0.000 3.400 0.000 0.000 0.000 8.205" Properties=species:S:1:pos:R:3 comment="LaMg2Ag | Alexandria | PBEsol | relaxed" magmom_total_mub_per_fu=0.00 pbc="T T T"
La 1.700 1.700 5.941
Mg 1.700 1.700 2.309
Mg 0.000 0.000 0.299
Ag 0.000 0.000 3.760

Entry 6:
14
Lattice="-1.353 4.513 -2.806 -3.799 -4.280 0.306 -3.879 4.042 8.372" Properties=species:S:1:pos:R:3 comment="La2Mg3Ag9 | Alexandria | PBEsol | relaxed" magmom_total_mub_per_fu=0.00 pbc="T T T"
Mg -1.939 2.021 4.186
Mg 0.000 0.000 0.000
Mg -2.616 4.278 2.783
Ag -5.282 0.342 0.425
Ag -4.052 0.103 4.799
Ag -0.677 2.257 -1.403
Ag -5.556 1.671 8.045
Ag -2.798 0.348 -0.770
Ag -1.814 1.917 1.272
Ag -6.542 0.107 6.000
Ag -4.423 6.184 4.048
Ag -4.302 1.916 2.477
La -2.855 -1.144 2.217
La -5.499 3.163 5.059

Entry 7:
5
Lattice="-4.513 -0.291 -3.470 -0.650 -1.673 5.411 1.920 5.155 1.495" Properties=species:S:1:pos:R:3 comment="La2MnAg2 | Alexandria | PBEsol | relaxed" magmom_total_mub_per_fu=3.49 pbc="T T T"
Mn 0.000 0.000 0.000
Ag 0.841 2.304 4.569
Ag 0.430 1.178 2.337
La -0.979 3.302 0.739
La -2.264 -0.112 2.697

Entry 8:
6
Lattice="-4.950 2.238 -0.896 -3.628 -2.557 -3.258 -4.500 -2.311 2.173" Properties=species:S:1:pos:R:3 comment="LaMnAg4 | Alexandria | PBEsol | relaxed" magmom_total_mub_per_fu=4.36 pbc="T T T"
Ag -7.386 0.144 -1.192
Ag -7.159 -2.148 0.354
Ag -6.720 -2.272 -2.383
Ag -4.891 -0.983 -0.741
La -9.809 -1.972 -1.485
Mn 0.000 0.000 0.000

Entry 9:
3
Lattice="-2.631 -2.531 -0.559 1.331 -2.228 3.824 -3.227 3.299 0.253" Properties=species:S:1:pos:R:3 comment="LaMnAg | Alexandria | PBEsol | relaxed" magmom_total_mub_per_fu=3.57 pbc="T T T"
Ag -1.315 -1.265 -0.280
Mn -3.023 0.191 1.164
La -0.188 -0.386 2.633

Entry 10:
4
Lattice="-0.511 -2.388 -2.845 -2.235 -2.979 0.432 -7.473 2.748 -3.436" Properties=species:S:1:pos:R:3 comment="La2MnAg | Alexandria | PBEsol | relaxed" magmom_total_mub_per_fu=2.08 pbc="T T T"
Ag 0.000 0.000 0.000
La -2.724 -0.538 -1.530
La -7.495 -2.082 -4.318
Mn -5.109 -1.310 -2.924

Entry 11:
5
Lattice="5.410 0.000 0.000 0.000 5.410 0.000 0.000 0.000 5.410" Properties=species:S:1:pos:R:3 comment="LaMnAg3 | Alexandria | PBEsol | relaxed" magmom_total_mub_per_fu=4.94 pbc="T T T"
Mn 2.705 2.705 2.705
Ag 2.705 0.000 0.000
Ag 0.000 2.705 0.000
Ag 0.000 0.000 2.705
La 0.000 0.000 0.000

Entry 12:
4
Lattice="-1.882 -2.239 1.517 3.873 -0.983 -0.224 0.635 4.297 7.131" Properties=species:S:1:pos:R:3 comment="La2MnAg | Alexandria | PBEsol | relaxed" magmom_total_mub_per_fu=2.16 pbc="T T T"
Mn -0.941 -1.120 0.758
La 1.639 -0.103 1.881
La 0.988 1.178 6.542
Ag 0.317 2.148 3.565

Record order is preserved below.
Calculated volume: 25.03; 26.54; 20.46; 23.61; 23.72; 19.86; 26.86; 19.67; 22.77; 25.56; 31.68; 24.93 A^3/atom
Record order is preserved below.
Total DFT energy (no corrections): -3.080; -4.046; -3.621; -3.217; -3.160; -3.532; -5.119; -4.654; -5.934; -5.613; -3.540; -5.639 eV per atom
Record order is preserved below.
Energy of formation: -0.2; -1.2; -1.4; -0.8; -0.5; -3.8; 1.5; 0.4; 0.6; 1.3; 7.3; 1.2 eV/f.u.